The following is a PBE with a Hubbard U calculation of an optimized crystal structure of CsNa2VO4, from Alexandria via LeMat-Bulk.

Calculated values
Uncorrected energy (eV/atom): -5.7709
Fermi-level density of states (states/eV per cell): 0.00

Structure (CIF):
```
data_CsNa2VO4
_space_group_name_H-M_alt 'I -4 2 m'
_space_group_IT_number 121
_space_group_name_Hall 'I -4 2'
_cell_length_a 5.9507
_cell_length_b 5.9507
_cell_length_c 7.9097
_cell_angle_alpha 90.00
_cell_angle_beta 90.00
_cell_angle_gamma 90.00
loop_
_atom_site_label
_atom_site_fract_x
_atom_site_fract_y
_atom_site_fract_z
_atom_site_occupancy
Cs1 0.0000 0.0000 0.0000 1
Na1 0.0000 0.5000 0.2500 1
V1 0.0000 0.0000 0.5000 1
O1 0.1688 0.1688 0.6298 1
```